Run 1
A geometry-optimized Pr3Te structure. Source: Alexandria, functional PBE.

Computed properties:
* Fermi-level density of states: 37.64 states/eV per cell
* M_tot: 0.00 μB per formula unit

Lattice parameters (Å, degrees): 12.949 12.949 6.297 90.00 90.00 90.00
Element x y z (fractional)
Pr 0.034 0.573 0.244
Pr 0.073 0.966 0.744
Pr 0.110 0.224 0.033
Pr 0.142 0.667 0.717
Pr 0.167 0.858 0.217
Pr 0.224 0.390 0.467
Pr 0.276 0.110 0.467
Pr 0.333 0.642 0.217
Pr 0.358 0.833 0.717
Pr 0.390 0.276 0.033
Pr 0.427 0.534 0.744
Pr 0.466 0.927 0.244
Pr 0.534 0.073 0.756
Pr 0.573 0.466 0.256
Pr 0.610 0.724 0.967
Pr 0.642 0.167 0.283
Pr 0.667 0.358 0.783
Pr 0.724 0.890 0.533
Pr 0.776 0.610 0.533
Pr 0.833 0.142 0.783
Pr 0.858 0.333 0.283
Pr 0.890 0.776 0.967
Pr 0.927 0.034 0.256
Pr 0.966 0.427 0.756
Te 0.047 0.208 0.537
Te 0.208 0.453 0.963
Te 0.292 0.047 0.963
Te 0.453 0.292 0.537
Te 0.547 0.708 0.463
Te 0.708 0.953 0.037
Te 0.792 0.547 0.037
Te 0.953 0.792 0.463

---

Run 2
A geometry-optimized Pr3Te structure. Source: Alexandria, functional PBE.

Computed properties:
* Fermi-level density of states: 18.55 states/eV per cell
* M_tot: 0.00 μB per formula unit

Lattice parameters (Å, degrees): 9.721 9.721 9.721 95.93 95.93 142.49
Element x y z (fractional)
Pr 0.070 0.384 0.470
Pr 0.087 0.197 0.835
Pr 0.227 0.690 0.909
Pr 0.310 0.219 0.537
Pr 0.362 0.252 0.165
Pr 0.400 0.930 0.313
Pr 0.616 0.087 0.687
Pr 0.682 0.773 0.463
Pr 0.748 0.913 0.111
Pr 0.781 0.318 0.091
Pr 0.803 0.638 0.889
Pr 0.913 0.600 0.530
Te 0.240 0.484 0.163
Te 0.321 0.077 0.837
Te 0.516 0.679 0.756
Te 0.923 0.760 0.244

---

Run 3
A geometry-optimized Pr3Te structure. Source: Alexandria, functional PBE.

Computed properties:
* Fermi-level density of states: 4.51 states/eV per cell
* M_tot: 0.00 μB per formula unit

Lattice parameters (Å, degrees): 6.451 6.451 6.451 144.03 70.20 121.97
Element x y z (fractional)
Pr 0.000 0.000 0.000
Pr 0.400 0.617 0.783
Pr 0.834 0.617 0.217
Te 0.402 0.902 0.500

---

Short version: run 3 is the least stable of them.

---

Run 1
A geometry-optimized Pr3Te structure. Source: Alexandria, functional PBE.

Computed properties:
* Fermi-level density of states: 4.39 states/eV per cell
* M_tot: 0.00 μB per formula unit

Lattice parameters (Å, degrees): 4.959 4.959 4.959 90.00 90.00 90.00
Element x y z (fractional)
Pr 0.000 0.000 0.500
Pr 0.000 0.500 0.000
Pr 0.500 0.000 0.000
Te 0.500 0.500 0.500

---

Run 2
A geometry-optimized Pr3Te structure. Source: Alexandria, functional PBE.

Computed properties:
* Fermi-level density of states: 3.41 states/eV per cell
* M_tot: 0.00 μB per formula unit

Lattice parameters (Å, degrees): 3.929 5.450 5.966 90.00 90.00 90.00
Element x y z (fractional)
Pr 0.000 0.000 0.000
Pr 0.000 0.500 0.422
Pr 0.500 0.000 0.537
Te 0.500 0.500 0.901

---

Short version: run 2 is the least stable of them.

---

Run 1
A geometry-optimized PrThTe3 structure. Source: Alexandria, functional PBE.

Computed properties:
* Fermi-level density of states: 3.69 states/eV per cell
* M_tot: 0.00 μB per formula unit

Lattice parameters (Å, degrees): 7.785 7.785 7.703 90.00 90.00 120.00
Element x y z (fractional)
Pr 0.000 0.000 0.000
Pr 0.000 0.000 0.500
Th 0.667 0.333 0.000
Th 0.667 0.333 0.500
Te 0.338 0.015 0.250
Te 0.338 0.323 0.750
Te 0.677 0.015 0.750
Te 0.677 0.662 0.250
Te 0.985 0.323 0.250
Te 0.985 0.662 0.750

---

Run 2
A geometry-optimized PrThTe3 structure. Source: Alexandria, functional PBE.

Computed properties:
* Fermi-level density of states: 10.41 states/eV per cell
* M_tot: 0.53 μB per formula unit

Lattice parameters (Å, degrees): 8.523 4.391 17.686 90.00 90.00 90.00
Element x y z (fractional)
Pr 0.090 0.250 0.203
Pr 0.410 0.750 0.703
Pr 0.590 0.250 0.297
Pr 0.910 0.750 0.797
Th 0.238 0.750 0.458
Th 0.262 0.250 0.958
Th 0.738 0.750 0.042
Th 0.762 0.250 0.542
Te 0.003 0.750 0.604
Te 0.114 0.750 0.069
Te 0.186 0.250 0.781
Te 0.314 0.750 0.281
Te 0.386 0.250 0.569
Te 0.497 0.250 0.104
Te 0.503 0.750 0.896
Te 0.614 0.750 0.431
Te 0.686 0.250 0.719
Te 0.814 0.750 0.219
Te 0.886 0.250 0.931
Te 0.997 0.250 0.396

---

Short version: run 1 is the least stable of them.

---

Run 1
A geometry-optimized Pr2Th3Te8 structure. Source: Alexandria, functional PBE.

Computed properties:
* Fermi-level density of states: 4.71 states/eV per cell
* M_tot: 1.43 μB per formula unit

Lattice parameters (Å, degrees): 9.419 9.419 5.457 90.00 90.00 110.00
Element x y z (fractional)
Pr 0.235 0.765 0.000
Pr 0.765 0.235 0.000
Th 0.238 0.238 0.500
Th 0.500 0.500 0.000
Th 0.762 0.762 0.500
Te 0.126 0.874 0.500
Te 0.137 0.382 0.000
Te 0.382 0.137 0.000
Te 0.383 0.617 0.500
Te 0.617 0.383 0.500
Te 0.618 0.863 0.000
Te 0.863 0.618 0.000
Te 0.874 0.126 0.500

---

Run 2
A geometry-optimized Pr2Th3Te8 structure. Source: Alexandria, functional PBE.

Computed properties:
* Fermi-level density of states: 8.06 states/eV per cell
* M_tot: 0.00 μB per formula unit

Lattice parameters (Å, degrees): 9.149 9.149 7.537 104.74 104.74 58.13
Element x y z (fractional)
Pr 0.246 0.246 0.326
Pr 0.754 0.754 0.674
Th 0.000 0.000 0.500
Th 0.249 0.751 0.000
Th 0.751 0.249 0.000
Te 0.126 0.126 0.908
Te 0.132 0.626 0.584
Te 0.374 0.868 0.416
Te 0.387 0.387 0.100
Te 0.613 0.613 0.900
Te 0.626 0.132 0.584
Te 0.868 0.374 0.416
Te 0.874 0.874 0.092

---

Short version: run 2 is the least stable of them.

---

Run 1
A geometry-optimized PrThTe4 structure. Source: Alexandria, functional PBE.

Computed properties:
* Fermi-level density of states: 10.67 states/eV per cell
* M_tot: 0.00 μB per formula unit

Lattice parameters (Å, degrees): 7.616 7.763 7.811 90.00 91.62 90.00
Element x y z (fractional)
Pr 0.000 0.000 0.000
Pr 0.000 0.500 0.500
Th 0.500 0.000 0.500
Th 0.500 0.500 0.000
Te 0.129 0.127 0.624
Te 0.129 0.373 0.124
Te 0.363 0.651 0.654
Te 0.363 0.849 0.154
Te 0.637 0.151 0.846
Te 0.637 0.349 0.346
Te 0.871 0.627 0.876
Te 0.871 0.873 0.376

---

Run 2
A geometry-optimized PrThTe4 structure. Source: Alexandria, functional PBE.

Computed properties:
* Fermi-level density of states: 8.00 states/eV per cell
* M_tot: 0.00 μB per formula unit

Lattice parameters (Å, degrees): 7.200 7.200 8.089 90.00 90.00 90.00
Element x y z (fractional)
Pr 0.000 0.000 0.000
Pr 0.500 0.500 0.000
Th 0.000 0.000 0.500
Th 0.500 0.500 0.500
Te 0.210 0.290 0.257
Te 0.210 0.290 0.743
Te 0.290 0.790 0.257
Te 0.290 0.790 0.743
Te 0.710 0.210 0.257
Te 0.710 0.210 0.743
Te 0.790 0.710 0.257
Te 0.790 0.710 0.743

---

Short version: run 1 is the least stable of them.

---

Run 1
A geometry-optimized PrTh3Te4 structure. Source: Alexandria, functional PBE.

Computed properties:
* Fermi-level density of states: 6.24 states/eV per cell
* M_tot: 0.00 μB per formula unit

Lattice parameters (Å, degrees): 7.702 7.702 4.583 90.00 90.00 110.63
Element x y z (fractional)
Pr 0.000 0.000 0.000
Th 0.000 0.500 0.500
Th 0.500 0.000 0.500
Th 0.500 0.500 0.000
Te 0.250 0.250 0.500
Te 0.250 0.750 0.000
Te 0.750 0.250 0.000
Te 0.750 0.750 0.500

---

Run 2
A geometry-optimized PrTh3Te4 structure. Source: Alexandria, functional PBE.

Computed properties:
* Fermi-level density of states: 5.02 states/eV per cell
* M_tot: 0.00 μB per formula unit

Lattice parameters (Å, degrees): 4.482 4.482 12.651 90.00 90.00 90.00
Element x y z (fractional)
Pr 0.000 0.000 0.000
Th 0.000 0.000 0.500
Th 0.500 0.500 0.252
Th 0.500 0.500 0.748
Te 0.000 0.000 0.250
Te 0.000 0.000 0.750
Te 0.500 0.500 0.000
Te 0.500 0.500 0.500

---

Short version: run 1 is the least stable of them.

---

Run 1
A geometry-optimized Pr2TlTe structure. Source: Alexandria, functional PBE.

Computed properties:
* Fermi-level density of states: 4.09 states/eV per cell
* M_tot: 0.00 μB per formula unit

Lattice parameters (Å, degrees): 8.977 8.977 8.977 27.38 27.38 27.38
Element x y z (fractional)
Pr 0.000 0.000 0.000
Pr 0.178 0.178 0.178
Tl 0.756 0.756 0.756
Te 0.588 0.588 0.588

---

Run 2
A geometry-optimized Pr2TlTe structure. Source: Alexandria, functional PBE.

Computed properties:
* Fermi-level density of states: 2.35 states/eV per cell
* M_tot: 0.00 μB per formula unit

Lattice parameters (Å, degrees): 8.429 8.429 8.429 30.12 30.12 30.12
Element x y z (fractional)
Pr 0.248 0.248 0.248
Pr 0.752 0.752 0.752
Tl 0.000 0.000 0.000
Te 0.500 0.500 0.500

---

Run 3
A geometry-optimized Pr2TlTe structure. Source: Alexandria, functional PBE.

Computed properties:
* Fermi-level density of states: 4.06 states/eV per cell
* M_tot: 0.00 μB per formula unit

Lattice parameters (Å, degrees): 12.643 12.643 4.513 90.00 90.00 158.85
Element x y z (fractional)
Pr 0.065 0.935 0.750
Pr 0.320 0.680 0.750
Pr 0.680 0.320 0.250
Pr 0.935 0.065 0.250
Tl 0.454 0.546 0.750
Tl 0.546 0.454 0.250
Te 0.192 0.808 0.750
Te 0.808 0.192 0.250

---

Short version: run 1 is the least stable of them.

---

Run 1
A geometry-optimized Pr5TlTe4 structure. Source: Alexandria, functional PBE.

Computed properties:
* Fermi-level density of states: 4.38 states/eV per cell
* M_tot: 0.00 μB per formula unit

Lattice parameters (Å, degrees): 7.876 7.876 7.876 99.54 99.54 131.95
Element x y z (fractional)
Pr 0.000 0.000 0.000
Pr 0.203 0.402 0.605
Pr 0.402 0.797 0.198
Pr 0.598 0.203 0.802
Pr 0.797 0.598 0.395
Tl 0.500 0.500 0.000
Te 0.099 0.700 0.798
Te 0.300 0.099 0.399
Te 0.700 0.901 0.601
Te 0.901 0.300 0.202

---

Run 2
A geometry-optimized Pr5TlTe4 structure. Source: Alexandria, functional PBE.

Computed properties:
* Fermi-level density of states: 6.46 states/eV per cell
* M_tot: 0.00 μB per formula unit

Lattice parameters (Å, degrees): 16.386 16.386 16.386 164.07 164.07 22.61
Element x y z (fractional)
Pr 0.000 0.000 0.000
Pr 0.200 0.200 0.000
Pr 0.401 0.401 0.000
Pr 0.599 0.599 0.000
Pr 0.800 0.800 0.000
Tl 0.500 0.500 0.000
Te 0.101 0.101 0.000
Te 0.301 0.301 0.000
Te 0.699 0.699 0.000
Te 0.899 0.899 0.000

---

Short version: run 2 is the least stable of them.